The following is a GGA-PBEsol calculation of a relaxed structure of Y6Al7, from Alexandria via LeMat-Bulk.

Cell lengths 5.6268, 5.6268, 31.0423 Å; angles 90.00, 90.00, 120.00 degrees
With the nearest neighbours (Å) after each atom.
Space group R-3m (No. 166, hexagonal axes)
Inequivalent atoms, fractional coordinates:
Y1 0.0000 0.0000 0.0507 [6 per cell]  2 Y 3.04-3.15, 6 Al 3.13
Y2 0.0000 0.0000 0.1488 [6 per cell]  1 Y 3.04, 12 Al 3.22-3.30
Y3 0.0000 0.0000 0.3351 [6 per cell]  9 Y 3.25-3.63, 6 Al 3.32-3.39
Al1 0.0000 0.0000 0.5000 [3 per cell]  6 Al 2.78
Al2 0.0051 0.5026 0.9054 [18 per cell]  5 Al 2.77-2.86

## Properties
**Calculated density**: 4.23 g cm⁻³
**Energy of formation**: -416 meV per atom

=====

The following is a GGA-PBEsol calculation of a relaxed structure of TaRe2IrW, from Alexandria via LeMat-Bulk.

Cell lengths 4.6367, 4.6367, 4.5909 Å; angles 90.00, 90.00, 90.00 degrees
With the nearest neighbours (Å) after each atom.
Space group P4/mmm (No. 123)
Inequivalent atoms, fractional coordinates:
Ta1 0.0000 0.0000 0.0000 [1 per cell]  2 Ir 2.30, 4 Re 2.32
Re1 0.0000 0.5000 0.0000 [2 per cell]  2 Ta 2.32
Ir1 0.0000 0.0000 0.5000 [1 per cell]  2 Ta 2.30
W1 0.5000 0.5000 0.5000 [1 per cell]  8 Re 3.26, 4 Ir 3.28

## Properties
**Calculated density**: 15.64 g cm⁻³
**Energy of formation**: 2552 meV per atom

=====

The following is a GGA-PBEsol calculation of a relaxed structure of TaTcN2F, from Alexandria via LeMat-Bulk.

Cell lengths 3.8618, 3.8618, 3.8057 Å; angles 90.00, 90.00, 90.00 degrees
With the nearest neighbours (Å) after each atom.
Space group P4/mmm (No. 123)
Inequivalent atoms, fractional coordinates:
Ta1 0.0000 0.0000 0.0000 [1 per cell]  8 N 2.71, 4 F 2.73
Tc1 0.5000 0.5000 0.5000 [1 per cell]  2 F 1.90, 4 N 1.93
N1 0.0000 0.5000 0.5000 [2 per cell]  2 Tc 1.93
F1 0.5000 0.5000 0.0000 [1 per cell]  2 Tc 1.90

## Properties
**Formation energy (no corrections)**: 335.2 meV/atom
**Calculated density**: 9.54 g cm⁻³

=====

The following is a GGA-PBEsol calculation of a relaxed structure of NiHSN2, from Alexandria via LeMat-Bulk.

Cell lengths 3.6721, 3.6721, 2.9935 Å; angles 90.00, 90.00, 90.00 degrees
With the nearest neighbours (Å) after each atom.
Space group P4/mmm (No. 123)
Inequivalent atoms, fractional coordinates:
Ni1 0.0000 0.0000 0.0000 [1 per cell]  8 N 2.37, 4 S 2.60
H1 0.5000 0.5000 0.5000 [1 per cell]  2 S 1.50
S1 0.5000 0.5000 0.0000 [1 per cell]  2 H 1.50
N1 0.0000 0.5000 0.5000 [2 per cell]  2 H 1.84

## Properties
**Calculated density**: 4.93 g cm⁻³
**Energy above the most stable polymorph in this dataset**: 176 meV per atom

=====

The following is a GGA-PBEsol calculation of a relaxed structure of Al2Ag2Se, from Alexandria via LeMat-Bulk.

Cell lengths 3.7524, 3.7524, 13.2091 Å; angles 90.00, 90.00, 90.00 degrees
With the nearest neighbours (Å) after each atom.
Space group I4/mmm (No. 139)
Inequivalent atoms, fractional coordinates:
Al1 0.0000 0.0000 0.0975 [4 per cell]  1 Al 2.57, 4 Ag 2.75
Ag1 0.0000 0.5000 0.2500 [4 per cell]  4 Ag 2.65, 4 Al 2.75
Se1 0.0000 0.0000 0.5000 [2 per cell]  8 Al 2.95

## Properties
**Formation energy (no corrections)**: 53.3 meV/atom
**Calculated density**: 6.23 g cm⁻³

=====

The following is a GGA-PBEsol calculation of a relaxed structure of CuHg2Os, from Alexandria via LeMat-Bulk.

Cell lengths 5.8072, 7.4607, 3.0036 Å; angles 90.00, 90.00, 90.00 degrees
With the nearest neighbours (Å) after each atom.
Space group Cmmm (No. 65)
Inequivalent atoms, fractional coordinates:
Cu1 0.0000 0.0000 0.0000 [2 per cell]  8 Hg 2.80, 2 Os 2.90, 2 Cu 3.00
Hg1 0.2500 0.2500 0.5000 [4 per cell]  4 Os 2.80, 4 Cu 2.80, 4 Hg 2.90-3.00
Os1 0.0000 0.5000 0.0000 [2 per cell]  8 Hg 2.80, 2 Cu 2.90, 2 Os 3.00

## Properties
**Calculated density**: 16.71 g cm⁻³
**Energy above the most stable polymorph in this dataset**: 11 meV per atom
**Energy of formation**: 572 meV per atom

=====

The following is a GGA-PBEsol calculation of a relaxed structure of NaPtOF2, from Alexandria via LeMat-Bulk.

Cell lengths 3.8653, 3.8653, 4.2030 Å; angles 90.00, 90.00, 90.00 degrees
With the nearest neighbours (Å) after each atom.
Space group P4/mmm (No. 123)
Inequivalent atoms, fractional coordinates:
Na1 0.0000 0.0000 0.0000 [1 per cell]  4 F 1.93, 2 O 2.10
Pt1 0.5000 0.5000 0.5000 [1 per cell]  4 O 2.73, 8 F 2.86
O1 0.0000 0.0000 0.5000 [1 per cell]  2 Na 2.10
F1 0.0000 0.5000 0.0000 [2 per cell]  2 Na 1.93

## Properties
**Formation energy (no corrections)**: -18.7 meV/atom
**Calculated density**: 7.19 g cm⁻³

=====

The following is a GGA-PBEsol calculation of a relaxed structure of SrCoSe2, from Alexandria via LeMat-Bulk.

Cell lengths 3.7988, 6.9046, 7.1557 Å; angles 90.00, 90.00, 90.00 degrees
With the nearest neighbours (Å) after each atom.
Space group Cmmm (No. 65)
Inequivalent atoms, fractional coordinates:
Sr1 0.0000 0.0000 0.0000 [2 per cell]  4 Se 2.88
Co1 0.0000 0.0000 0.5000 [2 per cell]  4 Se 2.37
Se1 0.0000 0.5000 0.3024 [4 per cell]  2 Co 2.37

## Properties
**Formation energy (no corrections)**: -508.8 meV/atom
**Calculated density**: 5.39 g cm⁻³
**Energy above the most stable polymorph in this dataset**: 0 meV per atom